Record 1
DFT (GGA-PBE) results for crystalline Pm2Nd2Sn3 at its relaxed geometry.

a = 5.4140 Å, b = 5.4140 Å, c = 9.4416 Å
α = 106.95°, β = 106.95°, γ = 59.67°
Closest atoms and distances in Å follow each position.
Fractional coordinates of all 7 atoms:
Pm 0.1201 0.1201 0.3640  5 Sn 3.18-3.24
Pm 0.8799 0.8799 0.6360  5 Sn 3.18-3.24
Nd 0.3731 0.3731 0.1218  7 Sn 3.30-3.56
Nd 0.6269 0.6269 0.8782  7 Sn 3.30-3.56
Sn 0.0000 0.0000 0.0000  2 Pm 3.24, 6 Nd 3.30
Sn 0.2414 0.2414 0.7215  4 Pm 3.18-3.22, 4 Nd 3.42-3.56
Sn 0.7586 0.7586 0.2785  4 Pm 3.18-3.22, 4 Nd 3.42-3.56



Record 2
DFT (GGA-PBE) results for crystalline PmNd2Sn at its relaxed geometry.

a = 5.5702 Å, b = 5.5702 Å, c = 5.5702 Å
α = 60.00°, β = 60.00°, γ = 60.00°
Closest atoms and distances in Å follow each position.
Fractional coordinates of all 4 atoms:
Pm 0.0000 0.0000 0.0000  8 Nd 3.41
Nd 0.2500 0.2500 0.2500  4 Sn 3.41, 4 Pm 3.41
Nd 0.7500 0.7500 0.7500  4 Sn 3.41, 4 Pm 3.41
Sn 0.5000 0.5000 0.5000  8 Nd 3.41



Record 3
DFT (GGA-PBE) results for crystalline Pm3NdSn12 at its relaxed geometry.

a = 4.7836 Å, b = 4.7836 Å, c = 18.8695 Å
α = 90.00°, β = 90.00°, γ = 90.00°
Closest atoms and distances in Å follow each position.
Fractional coordinates of all 16 atoms:
Pm 0.0000 0.0000 0.0000  12 Sn 3.36-3.38
Pm 0.0000 0.0000 0.2494  12 Sn 3.36-3.38
Pm 0.0000 0.0000 0.7506  12 Sn 3.36-3.38
Nd 0.0000 0.0000 0.5000  12 Sn 3.37-3.38
Sn 0.0000 0.5000 0.1247  8 Sn 3.36-3.38, 4 Pm 3.36
Sn 0.0000 0.5000 0.3741  2 Pm 3.36, 8 Sn 3.36-3.38, 2 Nd 3.37
Sn 0.0000 0.5000 0.6259  2 Pm 3.36, 8 Sn 3.36-3.38, 2 Nd 3.37
Sn 0.0000 0.5000 0.8753  8 Sn 3.36-3.38, 4 Pm 3.36
Sn 0.5000 0.0000 0.1247  8 Sn 3.36-3.38, 4 Pm 3.36
Sn 0.5000 0.0000 0.3741  2 Pm 3.36, 8 Sn 3.36-3.38, 2 Nd 3.37
Sn 0.5000 0.0000 0.6259  2 Pm 3.36, 8 Sn 3.36-3.38, 2 Nd 3.37
Sn 0.5000 0.0000 0.8753  8 Sn 3.36-3.38, 4 Pm 3.36
Sn 0.5000 0.5000 0.0000  8 Sn 3.36, 4 Pm 3.38
Sn 0.5000 0.5000 0.2494  8 Sn 3.36, 4 Pm 3.38
Sn 0.5000 0.5000 0.5000  8 Sn 3.37, 4 Nd 3.38
Sn 0.5000 0.5000 0.7506  8 Sn 3.36, 4 Pm 3.38



Record 4
DFT (GGA-PBE) results for crystalline Pm3NdSn3 at its relaxed geometry.

a = 8.3623 Å, b = 8.3623 Å, c = 8.3623 Å
α = 68.60°, β = 68.60°, γ = 68.60°
Closest atoms and distances in Å follow each position.
Fractional coordinates of all 14 atoms:
Pm 0.1003 0.3726 0.8067  5 Sn 3.15-3.31
Pm 0.1933 0.8997 0.6274  5 Sn 3.15-3.31
Pm 0.3726 0.8067 0.1003  5 Sn 3.15-3.31
Pm 0.6274 0.1933 0.8997  5 Sn 3.15-3.31
Pm 0.8067 0.1003 0.3726  5 Sn 3.15-3.31
Pm 0.8997 0.6274 0.1933  5 Sn 3.15-3.31
Nd 0.3331 0.3331 0.3331  6 Sn 3.27-3.35
Nd 0.6669 0.6669 0.6669  6 Sn 3.27-3.35
Sn 0.0699 0.7081 0.4470  5 Pm 3.15-3.31, 2 Nd 3.27-3.35
Sn 0.2919 0.5530 0.9301  5 Pm 3.15-3.31, 2 Nd 3.27-3.35
Sn 0.4470 0.0699 0.7081  5 Pm 3.15-3.31, 2 Nd 3.27-3.35
Sn 0.5530 0.9301 0.2919  5 Pm 3.15-3.31, 2 Nd 3.27-3.35
Sn 0.7081 0.4470 0.0699  5 Pm 3.15-3.31, 2 Nd 3.27-3.35
Sn 0.9301 0.2919 0.5530  5 Pm 3.15-3.31, 2 Nd 3.27-3.35



Record 5
DFT (GGA-PBE) results for crystalline PmNdSn at its relaxed geometry.

a = 5.2133 Å, b = 5.2133 Å, c = 3.9550 Å
α = 90.00°, β = 90.00°, γ = 120.00°
Closest atoms and distances in Å follow each position.
Fractional coordinates of all 3 atoms:
Pm 0.0000 0.0000 0.0000  3 Sn 3.19, 3 Nd 3.46
Nd 0.6667 0.3333 0.5660  3 Sn 3.23, 3 Pm 3.46
Sn 0.3333 0.6667 0.2703  3 Pm 3.19, 3 Nd 3.23



Record 6
DFT (GGA-PBE) results for crystalline Pm2NdSn4 at its relaxed geometry.

a = 8.1588 Å, b = 8.1588 Å, c = 8.1588 Å
α = 111.02°, β = 111.02°, γ = 106.42°
Closest atoms and distances in Å follow each position.
Fractional coordinates of all 14 atoms:
Pm 0.0047 0.1250 0.3797  8 Sn 3.20-3.29
Pm 0.3750 0.9953 0.1203  8 Sn 3.20-3.29
Pm 0.7453 0.6250 0.6203  8 Sn 3.20-3.29
Pm 0.8750 0.2547 0.8797  8 Sn 3.20-3.29
Nd 0.2500 0.7500 0.5000  8 Sn 3.23-3.41
Nd 0.5000 0.5000 0.0000  8 Sn 3.23-3.41
Sn 0.1112 0.0335 0.7452  4 Pm 3.20-3.29, 2 Nd 3.23-3.41, 2 Sn 3.32-3.48
Sn 0.1160 0.5383 0.7548  4 Pm 3.20-3.29, 2 Nd 3.23-3.41, 2 Sn 3.32-3.48
Sn 0.2883 0.3660 0.2548  4 Pm 3.20-3.29, 2 Nd 3.23-3.41, 2 Sn 3.32-3.48
Sn 0.4617 0.2165 0.5777  4 Pm 3.20-3.29, 2 Nd 3.23-3.41, 2 Sn 3.32-3.48
Sn 0.6340 0.8888 0.9223  4 Pm 3.20-3.29, 2 Nd 3.23-3.41, 2 Sn 3.32-3.48
Sn 0.6388 0.8840 0.4223  4 Pm 3.20-3.29, 2 Nd 3.23-3.41, 2 Sn 3.32-3.48
Sn 0.7835 0.3612 0.2452  4 Pm 3.20-3.29, 2 Nd 3.23-3.41, 2 Sn 3.32-3.48
Sn 0.9665 0.7117 0.0777  4 Pm 3.20-3.29, 2 Nd 3.23-3.41, 2 Sn 3.32-3.48



Record 7
DFT (GGA-PBE) results for crystalline Pm7NdSn2 at its relaxed geometry.

a = 9.0859 Å, b = 9.0859 Å, c = 5.6974 Å
α = 90.00°, β = 90.00°, γ = 118.69°
Closest atoms and distances in Å follow each position.
Fractional coordinates of all 10 atoms:
Pm 0.0000 0.0000 0.0000  2 Sn 3.08
Pm 0.1951 0.4436 0.0000  2 Sn 3.17-3.26, 2 Pm 3.35-3.54
Pm 0.2661 0.7339 0.5000  2 Sn 3.05
Pm 0.4436 0.1951 0.0000  2 Sn 3.17-3.26, 2 Pm 3.35-3.54
Pm 0.5564 0.8049 0.0000  2 Sn 3.17-3.26, 2 Pm 3.35-3.54
Pm 0.7339 0.2661 0.5000  2 Sn 3.05
Pm 0.8049 0.5564 0.0000  2 Sn 3.17-3.26, 2 Pm 3.35-3.54
Nd 0.5000 0.5000 0.5000  10 Pm 3.66-3.83
Sn 0.1971 0.8029 0.0000  7 Pm 3.05-3.26
Sn 0.8029 0.1971 0.0000  7 Pm 3.05-3.26



Record 8
DFT (GGA-PBE) results for crystalline PmNdSn at its relaxed geometry.

a = 5.8195 Å, b = 5.8195 Å, c = 5.8195 Å
α = 137.71°, β = 137.71°, γ = 61.35°
Closest atoms and distances in Å follow each position.
Fractional coordinates of all 3 atoms:
Pm 0.0000 0.0000 0.0000  1 Nd 3.11, 5 Sn 3.35-3.46
Nd 0.3110 0.3110 0.0000  1 Pm 3.11, 5 Sn 3.36-3.44
Sn 0.6543 0.6543 0.0000  5 Pm 3.35-3.46, 5 Nd 3.36-3.44



Record 9
DFT (GGA-PBE) results for crystalline PmNd2Sn at its relaxed geometry.

a = 4.9350 Å, b = 4.9350 Å, c = 4.9551 Å
α = 90.00°, β = 90.00°, γ = 90.00°
Closest atoms and distances in Å follow each position.
Fractional coordinates of all 4 atoms:
Pm 0.0000 0.0000 0.0000  4 Sn 3.49, 8 Nd 3.50
Nd 0.0000 0.5000 0.5000  4 Nd 3.49, 4 Sn 3.50, 4 Pm 3.50
Nd 0.5000 0.0000 0.5000  4 Nd 3.49, 4 Sn 3.50, 4 Pm 3.50
Sn 0.5000 0.5000 0.0000  4 Pm 3.49, 8 Nd 3.50



Record 10
DFT (GGA-PBE) results for crystalline PmNdSn2 at its relaxed geometry.

a = 3.5356 Å, b = 3.5356 Å, c = 9.0783 Å
α = 90.00°, β = 90.00°, γ = 90.00°
Closest atoms and distances in Å follow each position.
Fractional coordinates of all 4 atoms:
Pm 0.0000 0.0000 0.0000  8 Sn 3.37, 4 Pm 3.54
Nd 0.0000 0.0000 0.5000  8 Sn 3.39, 4 Nd 3.54
Sn 0.5000 0.5000 0.2484  4 Pm 3.37, 4 Nd 3.39, 4 Sn 3.54
Sn 0.5000 0.5000 0.7516  4 Pm 3.37, 4 Nd 3.39, 4 Sn 3.54



Record 11
DFT (GGA-PBE) results for crystalline PmNd5Sn6 at its relaxed geometry.

a = 7.0010 Å, b = 7.0010 Å, c = 8.3096 Å
α = 96.39°, β = 96.39°, γ = 107.58°
Closest atoms and distances in Å follow each position.
Fractional coordinates of all 12 atoms:
Pm 0.0000 0.0000 0.0000  6 Sn 3.19-3.23
Nd 0.1672 0.8328 0.5000  6 Sn 3.20-3.26
Nd 0.3329 0.6671 0.0000  6 Sn 3.20-3.25
Nd 0.5000 0.5000 0.5000  6 Sn 3.20-3.24
Nd 0.6671 0.3329 0.0000  6 Sn 3.20-3.25
Nd 0.8328 0.1672 0.5000  6 Sn 3.20-3.26
Sn 0.0845 0.4143 0.2494  5 Nd 3.20-3.26, 1 Pm 3.23
Sn 0.2492 0.2492 0.7507  1 Pm 3.19, 5 Nd 3.20-3.25
Sn 0.4143 0.0845 0.2494  5 Nd 3.20-3.26, 1 Pm 3.23
Sn 0.5857 0.9155 0.7506  5 Nd 3.20-3.26, 1 Pm 3.23
Sn 0.7508 0.7508 0.2493  1 Pm 3.19, 5 Nd 3.20-3.25
Sn 0.9155 0.5857 0.7506  5 Nd 3.20-3.26, 1 Pm 3.23



Record 12
DFT (GGA-PBE) results for crystalline Pm3NdSn4 at its relaxed geometry.

a = 12.7202 Å, b = 6.3729 Å, c = 6.3724 Å
α = 90.00°, β = 90.00°, γ = 90.00°
Closest atoms and distances in Å follow each position.
Fractional coordinates of all 16 atoms:
Pm 0.0000 0.2494 0.0000  6 Sn 3.17-3.19
Pm 0.2500 0.2495 0.5003  6 Sn 3.18-3.19
Pm 0.2500 0.7505 0.0003  6 Sn 3.18-3.19
Pm 0.5000 0.7506 0.5000  6 Sn 3.17-3.19
Pm 0.7500 0.2495 0.5003  6 Sn 3.18-3.19
Pm 0.7500 0.7505 0.0003  6 Sn 3.18-3.19
Nd 0.0000 0.7489 0.5011  6 Sn 3.19
Nd 0.5000 0.2511 0.0011  6 Sn 3.19
Sn 0.0000 0.2488 0.4999  4 Pm 3.18-3.19, 2 Nd 3.19
Sn 0.0000 0.7494 0.0013  4 Pm 3.18-3.19, 2 Nd 3.19
Sn 0.2493 0.2506 0.0003  5 Pm 3.17-3.19, 1 Nd 3.19
Sn 0.2507 0.7494 0.5003  5 Pm 3.17-3.19, 1 Nd 3.19
Sn 0.5000 0.2506 0.5013  4 Pm 3.18-3.19, 2 Nd 3.19
Sn 0.5000 0.7512 0.9999  4 Pm 3.18-3.19, 2 Nd 3.19
Sn 0.7493 0.7494 0.5003  5 Pm 3.17-3.19, 1 Nd 3.19
Sn 0.7507 0.2506 0.0003  5 Pm 3.17-3.19, 1 Nd 3.19



Number 1: formation energy from the elements -55.3 kJ/mol of atoms, spin magnetization 0.00 μB/f.u.. Number 2: formation energy from the elements -24.8 kJ/mol of atoms, spin magnetization 0.00 μB/f.u.. Number 3: formation energy from the elements -47.7 kJ/mol of atoms, spin magnetization 0.00 μB/f.u.. Number 4: formation energy from the elements -53.9 kJ/mol of atoms, spin magnetization 0.00 μB/f.u.. Number 5: formation energy from the elements -35.9 kJ/mol of atoms, spin magnetization 0.00 μB/f.u.. Number 6: formation energy from the elements -53.2 kJ/mol of atoms, spin magnetization 0.00 μB/f.u.. Number 7: formation energy from the elements 15.1 kJ/mol of atoms, spin magnetization 0.13 μB/f.u.. Number 8: formation energy from the elements -47.4 kJ/mol of atoms, spin magnetization 0.00 μB/f.u.. Number 9: formation energy from the elements -43.5 kJ/mol of atoms, spin magnetization 0.00 μB/f.u.. Number 10: formation energy from the elements -65.1 kJ/mol of atoms, spin magnetization 0.00 μB/f.u.. Number 11: formation energy from the elements -57.9 kJ/mol of atoms, spin magnetization 0.00 μB/f.u.. Number 12: formation energy from the elements -53.7 kJ/mol of atoms, spin magnetization 0.00 μB/f.u..